Density functional theory data (PBE) for an optimized crystal structure of Zr2FeOs.

Properties
Volume   73.3 Å³/cell
ΔE_f   0.693 eV/atom
Total DFT energy (no corrections)   -34.0 eV/cell
ρ   9.706 g/cm3

extended XYZ file:
```
4
Lattice="0.786 -0.437 -5.840 -2.672 -3.612 3.837 -2.945 1.998 4.716" Properties=species:S:1:pos:R:3 pbc="T T T"
Os -2.809 -0.807 4.276
Zr -1.401 -0.402 2.132
Zr -4.217 -1.211 6.420
Fe 0.000 0.000 0.000
```